## A
The following is a DFT calculation (PBE) of an optimized crystal structure of LaSe2O2.

Lattice parameters (Å, degrees): 7.242 7.242 3.619 90.00 90.00 90.00
Last column: magnetic moment on the atom in μB.
Fractional positions:
O  0.248  0.748  0.500  0.23
O  0.748  0.752  0.500  0.22
O  0.752  0.252  0.500  0.23
O  0.252  0.248  0.500  0.22
Se  0.386  0.886  0.000  0.12
Se  0.886  0.614  0.000  0.11
Se  0.614  0.114  0.000  0.12
Se  0.114  0.386  0.000  0.11
La  0.000  0.000  0.000  0.00
La  0.500  0.500  0.000  0.00

***

## B
The following is a DFT calculation (PBE) of an optimized crystal structure of LaSe2O2.

Lattice parameters (Å, degrees): 4.561 4.561 5.270 64.36 64.36 90.00
Fractional positions:
O  0.750  0.250  0.500
O  0.250  0.750  0.500
Se  0.365  0.365  0.271
Se  0.635  0.635  0.729
La  0.000  0.000  0.000

***

Q: Which of them is the least stable? A: B.

***

## A
The following is a DFT calculation (PBE) of an optimized crystal structure of LaSe3O12.

Lattice parameters (Å, degrees): 8.854 8.854 10.642 65.42 65.42 60.00
Last column: magnetic moment on the atom in μB.
Fractional positions:
La  0.063  0.063  0.810  -0.01
La  0.563  0.563  0.310  -0.01
Se  0.697  0.335  0.003  -0.04
Se  0.197  0.466  0.503  -0.04
Se  0.835  0.197  0.503  -0.04
Se  0.335  0.966  0.003  -0.04
Se  0.966  0.697  0.003  -0.04
Se  0.466  0.835  0.503  -0.04
O  0.108  0.088  0.034  0.25
O  0.196  0.281  0.637  0.10
O  0.937  0.992  0.474  0.34
O  0.853  0.385  0.853  0.17
O  0.353  0.409  0.353  0.17
O  0.437  0.097  0.974  0.34
O  0.696  0.386  0.137  0.10
O  0.992  0.597  0.474  0.34
O  0.608  0.270  0.534  0.25
O  0.886  0.196  0.637  0.10
O  0.885  0.353  0.353  0.17
O  0.270  0.588  0.534  0.25
O  0.097  0.492  0.974  0.34
O  0.770  0.108  0.034  0.25
O  0.385  0.909  0.853  0.17
O  0.386  0.781  0.137  0.10
O  0.781  0.696  0.137  0.10
O  0.492  0.437  0.974  0.34
O  0.588  0.608  0.534  0.25
O  0.909  0.853  0.853  0.17
O  0.409  0.885  0.353  0.17
O  0.088  0.770  0.034  0.25
O  0.281  0.886  0.637  0.10
O  0.597  0.937  0.474  0.34

***

## B
The following is a DFT calculation (PBE) of an optimized crystal structure of LaSe3O12.

Lattice parameters (Å, degrees): 9.920 9.920 6.471 90.00 90.00 120.00
Last column: magnetic moment on the atom in μB.
Fractional positions:
La  0.667  0.333  0.750  -0.01
La  0.333  0.667  0.250  -0.01
Se  0.608  0.704  0.750  -0.04
Se  0.392  0.296  0.250  -0.04
Se  0.096  0.392  0.750  -0.04
Se  0.904  0.608  0.250  -0.04
Se  0.296  0.904  0.750  -0.04
Se  0.704  0.096  0.250  -0.04
O  0.955  0.437  0.750  0.12
O  0.045  0.563  0.250  0.12
O  0.482  0.045  0.750  0.12
O  0.518  0.955  0.250  0.12
O  0.563  0.518  0.750  0.12
O  0.437  0.482  0.250  0.12
O  0.798  0.830  0.750  0.34
O  0.202  0.170  0.250  0.34
O  0.031  0.202  0.750  0.34
O  0.969  0.798  0.250  0.34
O  0.170  0.969  0.750  0.34
O  0.830  0.031  0.250  0.34
O  0.531  0.740  0.959  0.21
O  0.469  0.260  0.041  0.21
O  0.209  0.469  0.959  0.21
O  0.469  0.260  0.459  0.21
O  0.791  0.531  0.041  0.21
O  0.531  0.740  0.541  0.21
O  0.260  0.791  0.959  0.21
O  0.791  0.531  0.459  0.21
O  0.740  0.209  0.041  0.21
O  0.209  0.469  0.541  0.21
O  0.740  0.209  0.459  0.21
O  0.260  0.791  0.541  0.21

***

Q: Which of them is the least stable? A: A.

***

## A
The following is a DFT calculation (PBE) of an optimized crystal structure of LaSe3O.

Lattice parameters (Å, degrees): 5.887 5.887 5.887 90.00 90.00 90.00
Last column: magnetic moment on the atom in μB.
Fractional positions:
O  0.500  0.500  0.500  1.45
Se  0.000  0.500  0.000  0.65
Se  0.000  0.000  0.500  0.71
Se  0.500  0.000  0.000  0.55
La  0.000  0.000  0.000  -0.01

***

## B
The following is a DFT calculation (PBE) of an optimized crystal structure of LaSe3O.

Lattice parameters (Å, degrees): 4.656 4.656 4.656 90.00 90.00 90.00
Fractional positions:
O  0.000  0.000  0.000
Se  0.000  0.500  0.000
Se  0.000  0.000  0.500
Se  0.500  0.000  0.000
La  0.500  0.500  0.500

***

Q: Which of them is the least stable? A: A.

***

## A
The following is a DFT calculation (PBE) of an optimized crystal structure of La2ZnSe2O2.

Lattice parameters (Å, degrees): 4.140 4.140 8.252 104.53 104.53 90.00
Fractional positions:
La  0.387  0.387  0.774
La  0.613  0.613  0.226
Zn  0.000  0.000  0.000
Se  0.178  0.178  0.356
Se  0.822  0.822  0.644
O  0.000  0.500  0.000
O  0.500  0.000  0.000

***

## B
The following is a DFT calculation (PBE) of an optimized crystal structure of La2ZnSe2O2.

Lattice parameters (Å, degrees): 5.765 14.618 14.618 104.08 90.00 90.00
Fractional positions:
La  0.250  0.069  0.569
La  0.750  0.431  0.931
La  0.750  0.931  0.431
La  0.250  0.569  0.069
La  0.727  0.681  0.681
La  0.273  0.319  0.319
La  0.227  0.819  0.819
La  0.773  0.181  0.181
La  0.231  0.557  0.807
La  0.769  0.193  0.443
La  0.731  0.693  0.943
La  0.269  0.057  0.307
La  0.769  0.443  0.193
La  0.231  0.807  0.557
La  0.269  0.307  0.057
La  0.731  0.943  0.693
Zn  0.500  0.930  0.070
Zn  0.000  0.430  0.570
Zn  0.500  0.070  0.930
Zn  0.000  0.570  0.430
Zn  0.500  0.690  0.310
Zn  0.000  0.190  0.810
Zn  0.500  0.310  0.690
Zn  0.000  0.810  0.190
Se  0.250  0.834  0.334
Se  0.750  0.666  0.166
Se  0.750  0.166  0.666
Se  0.250  0.334  0.834
Se  0.712  0.916  0.916
Se  0.288  0.084  0.084
Se  0.212  0.584  0.584
Se  0.788  0.416  0.416
Se  0.237  0.790  0.042
Se  0.763  0.958  0.210
Se  0.737  0.458  0.710
Se  0.263  0.290  0.542
Se  0.763  0.210  0.958
Se  0.237  0.042  0.790
Se  0.263  0.542  0.290
Se  0.737  0.710  0.458
O  0.991  0.565  0.940
O  0.009  0.060  0.435
O  0.491  0.560  0.935
O  0.509  0.065  0.440
O  0.009  0.435  0.060
O  0.991  0.940  0.565
O  0.509  0.440  0.065
O  0.491  0.935  0.560
O  0.977  0.813  0.688
O  0.023  0.312  0.187
O  0.477  0.812  0.687
O  0.523  0.313  0.188
O  0.023  0.187  0.312
O  0.977  0.688  0.813
O  0.523  0.188  0.313
O  0.477  0.687  0.812

***

Q: Which of them is the least stable? A: A.

***

## A
The following is a DFT calculation (PBE) of an optimized crystal structure of La2SiO5.

Lattice parameters (Å, degrees): 4.276 10.606 10.593 90.00 90.00 89.13
Fractional positions:
La  0.259  0.638  0.062
La  0.741  0.362  0.938
La  0.741  0.862  0.562
La  0.259  0.138  0.438
La  0.256  0.082  0.790
La  0.744  0.918  0.210
La  0.744  0.418  0.290
La  0.256  0.582  0.710
Si  0.831  0.801  0.865
Si  0.169  0.199  0.135
Si  0.169  0.699  0.365
Si  0.831  0.301  0.635
O  0.208  0.763  0.868
O  0.792  0.237  0.132
O  0.792  0.737  0.368
O  0.208  0.263  0.632
O  0.234  0.554  0.315
O  0.766  0.446  0.685
O  0.766  0.946  0.815
O  0.234  0.054  0.185
O  0.269  0.720  0.515
O  0.731  0.280  0.485
O  0.731  0.780  0.015
O  0.269  0.220  0.985
O  0.731  0.705  0.746
O  0.269  0.295  0.254
O  0.269  0.795  0.246
O  0.731  0.205  0.754
O  0.255  0.982  0.598
O  0.745  0.018  0.402
O  0.745  0.518  0.098
O  0.255  0.482  0.902

***

## B
The following is a DFT calculation (PBE) of an optimized crystal structure of La2SiO5.

Lattice parameters (Å, degrees): 8.299 8.299 11.751 83.99 83.99 91.37
Fractional positions:
La  0.714  0.002  0.931
La  0.002  0.714  0.431
La  0.360  0.022  0.744
La  0.022  0.360  0.244
La  0.385  0.664  0.570
La  0.336  0.615  0.930
La  0.664  0.385  0.070
La  0.615  0.336  0.430
La  0.978  0.640  0.756
La  0.640  0.978  0.256
La  0.998  0.286  0.569
La  0.286  0.998  0.069
Si  0.735  0.930  0.555
Si  0.930  0.735  0.055
Si  0.627  0.373  0.750
Si  0.373  0.627  0.250
Si  0.070  0.265  0.945
Si  0.265  0.070  0.445
O  0.881  0.840  0.619
O  0.840  0.881  0.119
O  0.860  0.750  0.926
O  0.750  0.860  0.426
O  0.554  0.878  0.622
O  0.448  0.885  0.923
O  0.878  0.554  0.122
O  0.885  0.448  0.423
O  0.824  0.408  0.712
O  0.408  0.824  0.212
O  0.871  0.240  0.960
O  0.569  0.469  0.864
O  0.240  0.871  0.460
O  0.255  0.745  0.750
O  0.469  0.569  0.364
O  0.531  0.431  0.636
O  0.745  0.255  0.250
O  0.760  0.129  0.540
O  0.431  0.531  0.136
O  0.129  0.760  0.040
O  0.592  0.176  0.788
O  0.176  0.592  0.288
O  0.115  0.552  0.577
O  0.122  0.446  0.878
O  0.552  0.115  0.077
O  0.446  0.122  0.378
O  0.250  0.140  0.574
O  0.140  0.250  0.074
O  0.160  0.119  0.881
O  0.119  0.160  0.381

***

## C
The following is a DFT calculation (PBE) of an optimized crystal structure of La2SiO5.

Lattice parameters (Å, degrees): 7.727 7.010 9.357 70.93 90.00 90.00
Fractional positions:
La  0.127  0.731  0.491
La  0.627  0.769  0.509
La  0.873  0.269  0.509
La  0.373  0.231  0.491
La  0.660  0.905  0.889
La  0.160  0.595  0.111
La  0.340  0.095  0.111
La  0.840  0.405  0.889
Si  0.072  0.958  0.800
Si  0.572  0.542  0.200
Si  0.928  0.042  0.200
Si  0.428  0.458  0.800
O  0.873  0.550  0.610
O  0.373  0.950  0.390
O  0.127  0.450  0.390
O  0.627  0.050  0.610
O  0.233  0.951  0.913
O  0.733  0.549  0.087
O  0.767  0.049  0.087
O  0.267  0.451  0.913
O  0.131  0.004  0.622
O  0.631  0.496  0.378
O  0.869  0.996  0.378
O  0.369  0.504  0.622
O  0.577  0.634  0.788
O  0.077  0.866  0.212
O  0.423  0.366  0.212
O  0.923  0.134  0.788
O  0.538  0.244  0.869
O  0.038  0.256  0.131
O  0.462  0.756  0.131
O  0.962  0.744  0.869

***

## D
The following is a DFT calculation (PBE) of an optimized crystal structure of La2SiO5.

Lattice parameters (Å, degrees): 5.587 5.587 5.419 121.03 121.03 90.00
Fractional positions:
La  0.214  0.714  0.428
La  0.714  0.214  0.428
Si  0.974  0.974  0.947
O  0.814  0.247  0.061
O  0.247  0.247  0.061
O  0.814  0.814  0.061
O  0.247  0.814  0.061
O  0.753  0.753  0.507

***

Q: Which of them is the least stable? A: D.

***

## A
The following is a DFT calculation (PBE) of an optimized crystal structure of LaSi3O.

Lattice parameters (Å, degrees): 5.628 5.628 5.628 90.00 90.00 90.00
Last column: magnetic moment on the atom in μB.
Fractional positions:
Si  0.000  0.500  0.000  0.07
Si  0.000  0.000  0.500  0.01
Si  0.500  0.000  0.000  0.07
O  0.500  0.500  0.500  1.27
La  0.000  0.000  0.000  0.10

***

## B
The following is a DFT calculation (PBE) of an optimized crystal structure of LaSi3O.

Lattice parameters (Å, degrees): 4.418 4.418 4.418 90.00 90.00 90.00
Fractional positions:
Si  0.000  0.500  0.000
Si  0.000  0.000  0.500
Si  0.500  0.000  0.000
O  0.000  0.000  0.000
La  0.500  0.500  0.500

***

Q: Which of them is the least stable? A: A.